La2Sm2Dy4Y: optimized geometry, PBE.

Output
Density of states at the Fermi level = 13.17 states/eV/f.u.
DFT formation energy = 4 kJ/mol of formula units
DFT total energy = -4.9032 eV per atom

Structure (CIF):
```
data_La2Sm2Dy4Y
_symmetry_space_group_name_H-M 'C 1 2/m 1'
_symmetry_Int_Tables_number 12
_symmetry_space_group_name_Hall '-C 2y'
_cell_length_a 18.900
_cell_length_b 3.644
_cell_length_c 9.676
_cell_angle_alpha 90.00
_cell_angle_beta 115.76
_cell_angle_gamma 90.00
loop_
_atom_site_label
_atom_site_type_symbol
_atom_site_fract_x
_atom_site_fract_y
_atom_site_fract_z
La1 La 0.166 0.000 0.000
Sm1 Sm 0.147 0.500 0.663
Dy1 Dy 0.020 0.000 0.335
Dy2 Dy 0.185 0.500 0.338
Y1 Y 0.000 0.500 0.000
```